This record from Alexandria describes a geometry-optimized Mg3Be structure. The functional is PBE-GGA.

Calculated values
**Calculated total energy**: -1.84 eV per atom

```
Mg3Be
1.0
3.1171 0.0000 0.0000
0.0000 4.7237 0.0000
0.0000 0.0000 5.1134
Mg Be
3 1
direct
0.0000 0.5000 0.3242 Mg
0.5000 0.0000 0.4913 Mg
0.5000 0.5000 0.8475 Mg
0.0000 0.0000 0.0037 Be
```

This record from Alexandria describes a geometry-optimized MgBe3 structure. The functional is PBE-GGA.

Calculated values
**Calculated total energy**: -2.80 eV per atom

```
MgBe3
1.0
-0.5163 -2.7438 -2.7834
3.7652 0.3316 -1.1209
-0.8964 -0.8082 3.8034
Be Mg
3 1
direct
0.5002 0.4998 0.0000 Be
0.7500 0.2500 0.5000 Be
0.9998 0.0002 0.0000 Be
0.2500 0.7500 0.5000 Mg
```

This record from Alexandria describes a geometry-optimized Mg4Be structure. The functional is PBE-GGA.

Calculated values
**Calculated total energy**: -1.78 eV per atom

```
Mg4Be
1.0
0.0143 3.0045 4.3627
-3.8072 -2.1710 -2.9752
2.0256 -4.4342 2.0726
Mg Be
4 1
direct
0.2102 0.4007 0.6109 Mg
0.7898 0.5993 0.3891 Mg
0.4007 0.7898 0.1905 Mg
0.5993 0.2102 0.8095 Mg
0.0000 0.0000 0.0000 Be
```

This record from Alexandria describes a geometry-optimized MgBe3 structure. The functional is PBE-GGA.

Calculated values
**Calculated total energy**: -2.65 eV per atom

```
MgBe3
1.0
-3.1057 -0.0349 3.3076
-0.6339 -4.4467 -0.6420
3.2465 -0.9016 3.0388
Be Mg
6 2
direct
0.5000 0.0000 0.7500 Be
0.2500 0.5000 0.0000 Be
0.0000 0.2500 0.5000 Be
0.0000 0.7500 0.5000 Be
0.7500 0.5000 0.0000 Be
0.5000 0.0000 0.2500 Be
0.0000 0.0000 0.0000 Mg
0.5000 0.5000 0.5000 Mg
```

This record from Alexandria describes a geometry-optimized Mg2Be structure. The functional is PBE-GGA.

Calculated values
**Calculated total energy**: -1.94 eV per atom

```
Mg2Be
1.0
-0.2291 -5.9017 -1.8567
2.4904 -1.7888 5.3784
-5.6635 -0.5479 2.4401
Be Mg
4 8
direct
0.0000 0.0000 0.0000 Be
0.5000 0.5000 0.0000 Be
0.0000 0.5000 0.5000 Be
0.5000 0.0000 0.5000 Be
0.7500 0.2500 0.7500 Mg
0.2500 0.7500 0.2500 Mg
0.2500 0.7500 0.7500 Mg
0.2500 0.2500 0.2500 Mg
0.7500 0.7500 0.2500 Mg
0.2500 0.2500 0.7500 Mg
0.7500 0.7500 0.7500 Mg
0.7500 0.2500 0.2500 Mg
```

This record from Alexandria describes a geometry-optimized MgBe3 structure. The functional is PBE-GGA.

Calculated values
**Calculated total energy**: -2.86 eV per atom

```
MgBe3
1.0
4.7002 0.0000 0.0000
0.0000 7.7509 0.0000
0.0000 0.0000 4.9470
Mg Be
4 12
direct
0.0435 0.7500 0.5985 Mg
0.4565 0.2500 0.0985 Mg
0.9565 0.2500 0.4015 Mg
0.5435 0.7500 0.9015 Mg
0.8259 0.5175 0.1539 Be
0.3259 0.5175 0.3461 Be
0.1741 0.0175 0.8461 Be
0.6741 0.0175 0.6539 Be
0.4101 0.2500 0.6159 Be
0.9101 0.2500 0.8841 Be
0.3259 0.9825 0.3461 Be
0.1741 0.4825 0.8461 Be
0.8259 0.9825 0.1539 Be
0.5899 0.7500 0.3841 Be
0.0899 0.7500 0.1159 Be
0.6741 0.4825 0.6539 Be
```

This record from Alexandria describes a geometry-optimized MgBe3 structure. The functional is PBE-GGA.

Calculated values
**Calculated total energy**: -3.07 eV per atom

```
MgBe3
1.0
3.6698 -0.0024 -0.0372
-1.8315 3.2270 -0.0105
-0.3365 -1.0589 8.6469
Be Mg
6 2
direct
0.4452 0.2896 0.3735 Be
0.2206 0.0319 0.5881 Be
0.5548 0.7104 0.6265 Be
0.8896 0.3802 0.6245 Be
0.7794 0.9681 0.4119 Be
0.1104 0.6198 0.3755 Be
0.3009 0.1252 0.8646 Mg
0.6991 0.8748 0.1354 Mg
```

This record from Alexandria describes a geometry-optimized MgBe2 structure. The functional is PBE-GGA.

Calculated values
**Calculated total energy**: -2.77 eV per atom

```
MgBe2
1.0
-2.1278 2.1278 4.3171
2.1278 -2.1278 4.3171
2.1278 2.1278 -4.3171
Mg Be
2 4
direct
0.7500 0.7500 0.0000 Mg
0.2500 0.2500 0.0000 Mg
0.6708 0.1708 0.8417 Be
0.1708 0.3292 0.5000 Be
0.8292 0.6708 0.5000 Be
0.3292 0.8292 0.1583 Be
```

Across the entries above, DOS(E_F) takes the values 0.282, 0.173, 0.295, 0.530, 0.623, 0.128, 0.164, 0.192 states/eV/atom, respectively.